Computed, not measured: a relaxed structure of Rb4Sm3TmO8 at the PBE level of DFT.

Output
Total energy, eV per atom: -6.519
DOS at the Fermi energy, states/eV per atom: 0.00

a b c (Å): 7.1472 7.1472 19.7464
angles (deg): 90.00 90.00 120.00
Closest atoms and distances in Å follow each position.
Space group R-3m (No. 166, hexagonal axes)
Unique sites:
Rb  0.0000  0.0000  0.0000 [3 per cell]  6 O 3.00
Rb  0.0000  0.5000  0.0000 [9 per cell]  6 O 2.94-2.95
Sm  0.0000  0.5000  0.5000 [9 per cell]  6 O 2.38-2.39
Tm  0.0000  0.0000  0.5000 [3 per cell]  6 O 2.32
O  0.0000  0.0000  0.2264 [6 per cell]  3 Sm 2.38
O  0.0093  0.5047  0.2256 [18 per cell]  1 Tm 2.32, 2 Sm 2.39

---

Computed, not measured: a relaxed structure of Rb3Sm2TmO6 at the PBE level of DFT.

Output
Total energy, eV per atom: -6.527
DOS at the Fermi energy, states/eV per atom: 0.00

a b c (Å): 6.1654 10.6797 6.8910
angles (deg): 90.00 107.34 90.00
Closest atoms and distances in Å follow each position.
Space group C2/m (No. 12)
Unique sites:
Rb  0.0000  0.0000  0.0000 [2 per cell]  6 O 2.94-3.00
Rb  0.0000  0.3343  0.0000 [4 per cell]  6 O 2.93-3.01
Sm  0.0000  0.1667  0.5000 [4 per cell]  6 O 2.39
Tm  0.0000  0.5000  0.5000 [2 per cell]  6 O 2.30
O  0.2203  0.3386  0.6767 [8 per cell]  1 Tm 2.30, 2 Sm 2.39
O  0.2361  0.0000  0.6768 [4 per cell]  1 Tm 2.30, 2 Sm 2.39

---

Computed, not measured: a relaxed structure of Rb4SmU3O12 at the PBE level of DFT.

Output
Total energy, eV per atom: -7.976
DOS at the Fermi energy, states/eV per atom: 0.43

a b c (Å): 8.7608 8.7608 8.7608
angles (deg): 90.00 90.00 90.00
Closest atoms and distances in Å follow each position.
Space group Im-3m (No. 229)
Unique sites:
Rb  0.2500  0.2500  0.2500 [8 per cell]  12 O 3.10
Sm  0.0000  0.0000  0.0000 [2 per cell]  6 O 2.35
U  0.0000  0.0000  0.5000 [6 per cell]  6 O 2.03-2.19
O  0.0000  0.0000  0.2688 [12 per cell]  1 U 2.03
O  0.0000  0.2500  0.5000 [12 per cell]  2 U 2.19

---

Computed, not measured: a relaxed structure of Rb2SmUO6 at the PBE level of DFT.

Output
Total energy, eV per atom: -7.403
DOS at the Fermi energy, states/eV per atom: 0.97

a b c (Å): 8.8536 8.8536 8.8536
angles (deg): 90.00 90.00 90.00
Closest atoms and distances in Å follow each position.
Space group Fm-3m (No. 225)
Unique sites:
Rb  0.2500  0.2500  0.2500 [8 per cell]  12 O 3.13
Sm  0.0000  0.0000  0.0000 [4 per cell]  6 O 2.34
U  0.0000  0.0000  0.5000 [4 per cell]  6 O 2.08
O  0.0000  0.0000  0.2648 [24 per cell]  1 U 2.08

---

Computed, not measured: a relaxed structure of Rb2SmU3O12 at the PBE level of DFT.

Output
Total energy, eV per atom: -8.429
DOS at the Fermi energy, states/eV per atom: 0.85

a b c (Å): 8.1093 8.1093 19.0750
angles (deg): 90.00 90.00 120.00
Closest atoms and distances in Å follow each position.
Space group R-3m (No. 166, hexagonal axes)
Unique sites:
Rb  0.0000  0.0000  0.1300 [6 per cell]  6 O 3.32-3.66
Sm  0.0000  0.0000  0.5000 [3 per cell]  6 O 2.33
U  0.0000  0.5000  0.0000 [9 per cell]  6 O 1.98-2.13
O  0.0515  0.5258  0.1018 [18 per cell]  1 U 1.98
O  0.0820  0.5410  0.3474 [18 per cell]  2 U 2.13

---

Computed, not measured: a relaxed structure of Rb3SmU2O9 at the PBE level of DFT.

Output
Total energy, eV per atom: -7.840
DOS at the Fermi energy, states/eV per atom: 0.00

a b c (Å): 6.2088 6.2088 7.6014
angles (deg): 90.00 90.00 120.00
Closest atoms and distances in Å follow each position.
Space group P-3m1 (No. 164)
Unique sites:
Rb  0.0000  0.0000  0.0000 [1 per cell]  12 O 3.08-3.10
Rb  0.3333  0.6667  0.6625 [2 per cell]  12 O 3.11-3.13
Sm  0.0000  0.0000  0.5000 [1 per cell]  6 O 2.35
U  0.3333  0.6667  0.1642 [2 per cell]  6 O 2.05-2.18
O  0.0000  0.5000  0.0000 [3 per cell]  2 U 2.18
O  0.1774  0.3547  0.3183 [6 per cell]  1 U 2.05

---

Q: Which formula does entry 5 have?
A: Rb2SmU3O12